Entry 1:
# GGA-PBE TbCe2Sc7, optimized geometry
data_TbCe2Sc7
_cell_length_a 7.8385
_cell_length_b 22.2015
_cell_length_c 3.1291
_cell_angle_alpha 90.00
_cell_angle_beta 90.00
_cell_angle_gamma 90.00
_space_group_name_H-M_alt 'C m m m'
_space_group_IT_number 65
_space_group_name_Hall '-C 2 2'
loop_
_atom_site_label
_atom_site_fract_x
_atom_site_fract_y
_atom_site_fract_z
Tb1 0.0000 0.0000 0.0000
Ce1 0.0000 0.3840 0.5000
Sc1 0.0000 0.2623 0.0000
Sc2 0.0000 0.5000 0.5000
Sc3 0.1802 0.1525 0.5000
# - electronic total energy (Ha/atom) = -0.2045
# - N(E_F) (states/eV per cell) = 35.892
# - formation enthalpy at 0 K (eV per atom) = 0.517

=====

Entry 2:
# GGA-PBE NdTm8In6, optimized geometry
data_NdTm8In6
_cell_length_a 8.9895
_cell_length_b 8.9895
_cell_length_c 19.2922
_cell_angle_alpha 90.00
_cell_angle_beta 90.00
_cell_angle_gamma 120.00
_space_group_name_H-M_alt 'R -3'
_space_group_IT_number 148
_space_group_name_Hall '-R 3'
loop_
_atom_site_label
_atom_site_fract_x
_atom_site_fract_y
_atom_site_fract_z
Nd1 0.0000 0.0000 0.0000
Tm1 0.0000 0.0000 0.3326
Tm2 0.0010 0.3328 0.1129
In1 0.9999 0.3400 0.9391
# - electronic total energy (Ha/atom) = -0.1464
# - N(E_F) (states/eV per cell) = 57.501
# - formation enthalpy at 0 K (eV per atom) = -0.186

=====

Entry 3:
# GGA-PBE Ca5ZnCd, optimized geometry
data_Ca5ZnCd
_cell_length_a 12.0982
_cell_length_b 7.2010
_cell_length_c 11.8603
_cell_angle_alpha 90.00
_cell_angle_beta 107.15
_cell_angle_gamma 90.00
_space_group_name_H-M_alt 'C 1 2/c 1'
_space_group_IT_number 15
loop_
_space_group_symop_operation_xyz
'x,y,z'
'-x,-y,-z'
'-x,y,-z+1/2'
'x,-y,z+1/2'
'x+1/2,y+1/2,z'
'-x+1/2,-y+1/2,-z'
'-x+1/2,y+1/2,-z+1/2'
'x+1/2,-y+1/2,z+1/2'
loop_
_atom_site_label
_atom_site_fract_x
_atom_site_fract_y
_atom_site_fract_z
Ca1 0.0000 0.0418 0.2500
Ca2 0.1228 0.3515 0.0302
Ca3 0.2263 0.1694 0.6468
Zn1 0.0000 0.0000 0.0000
Cd1 0.0000 0.4697 0.7500
# - electronic total energy (Ha/atom) = -0.0660
# - N(E_F) (states/eV per cell) = 28.257
# - formation enthalpy at 0 K (eV per atom) = -0.053

=====

Entry 4:
# GGA-PBE Ag3GeBi2Te6, optimized geometry
data_Ag3GeBi2Te6
_cell_length_a 18.7513
_cell_length_b 4.3601
_cell_length_c 8.5807
_cell_angle_alpha 90.00
_cell_angle_beta 102.31
_cell_angle_gamma 90.00
_space_group_name_H-M_alt 'C 1 2/m 1'
_space_group_IT_number 12
loop_
_space_group_symop_operation_xyz
'x,y,z'
'-x,-y,-z'
'-x,y,-z'
'x,-y,z'
'x+1/2,y+1/2,z'
'-x+1/2,-y+1/2,-z'
'-x+1/2,y+1/2,-z'
'x+1/2,-y+1/2,z'
loop_
_atom_site_label
_atom_site_fract_x
_atom_site_fract_y
_atom_site_fract_z
Ag1 0.0000 0.0000 0.0000
Ag2 0.1704 0.5000 0.3331
Ge1 0.0000 0.0000 0.5000
Bi1 0.1636 0.5000 0.8281
Te1 0.0048 0.5000 0.2558
Te2 0.1605 0.0000 0.0936
Te3 0.1649 0.0000 0.5672
# - electronic total energy (Ha/atom) = -0.1256
# - raw formation energy (eV/f.u.) = -1.246
# - N(E_F) (states/eV per cell) = 9.310

=====

Entry 5:
# GGA-PBE K2CrFe, optimized geometry
data_K2CrFe
_cell_length_a 3.2922
_cell_length_b 3.2922
_cell_length_c 35.0840
_cell_angle_alpha 90.00
_cell_angle_beta 90.00
_cell_angle_gamma 120.00
_space_group_name_H-M_alt 'R -3 m'
_space_group_IT_number 166
_space_group_name_Hall '-R 3 2"'
loop_
_atom_site_label
_atom_site_fract_x
_atom_site_fract_y
_atom_site_fract_z
K1 0.0000 0.0000 0.2463
Cr1 0.0000 0.0000 0.0000
Fe1 0.0000 0.0000 0.5000
# - electronic total energy (Ha/atom) = -0.1362
# - energy relative to the lowest polymorph listed for this composition (kcal/mol of atoms) = 13.18
# - N(E_F) (states/eV per cell) = 13.776
# - formation enthalpy at 0 K (eV per atom) = 1.364

=====

Entry 6:
# GGA-PBE MoOsAu, optimized geometry
data_MoOsAu
_cell_length_a 2.8034
_cell_length_b 2.8034
_cell_length_c 7.0648
_cell_angle_alpha 90.00
_cell_angle_beta 90.00
_cell_angle_gamma 120.00
_space_group_name_H-M_alt 'P 3 m 1'
_space_group_IT_number 156
loop_
_space_group_symop_operation_xyz
'x,y,z'
'-y,x-y,z'
'-x+y,-x,z'
'-y,-x,z'
'-x+y,y,z'
'x,x-y,z'
loop_
_atom_site_label
_atom_site_fract_x
_atom_site_fract_y
_atom_site_fract_z
Mo1 0.0000 0.0000 0.0000
Os1 0.6667 0.3333 0.2964
Au1 0.3333 0.6667 0.6490
# - electronic total energy (Ha/atom) = -0.3023
# - energy relative to the lowest polymorph listed for this composition (kcal/mol of atoms) = 0.00
# - N(E_F) (states/eV per cell) = 1.744
# - formation enthalpy at 0 K (eV per atom) = 0.221

=====

Entry 7:
# GGA-PBE Tc3Se4I, optimized geometry
data_Tc3Se4I
_cell_length_a 6.6580
_cell_length_b 12.1376
_cell_length_c 11.8065
_cell_angle_alpha 90.00
_cell_angle_beta 112.07
_cell_angle_gamma 90.00
_space_group_name_H-M_alt 'P 1 21/c 1'
_space_group_IT_number 14
loop_
_space_group_symop_operation_xyz
'x,y,z'
'-x,-y,-z'
'-x,y+1/2,-z+1/2'
'x,-y+1/2,z+1/2'
loop_
_atom_site_label
_atom_site_fract_x
_atom_site_fract_y
_atom_site_fract_z
Tc1 0.0282 0.0615 0.1508
Tc2 0.0346 0.1411 0.9449
Tc3 0.2981 0.5211 0.5562
Se1 0.2267 0.7110 0.4646
Se2 0.2782 0.5965 0.7505
Se3 0.2800 0.0597 0.8470
Se4 0.3448 0.1697 0.1459
I1 0.0969 0.1383 0.3880
# - electronic total energy (Ha/atom) = -0.2339
# - raw formation energy (eV/f.u.) = -4.342

=====

Entry 8:
# GGA-PBE Cs2KRePd, optimized geometry
data_Cs2KRePd
_cell_length_a 6.5682
_cell_length_b 6.5682
_cell_length_c 4.8597
_cell_angle_alpha 90.00
_cell_angle_beta 90.00
_cell_angle_gamma 90.00
_space_group_name_H-M_alt 'P 4/m m m'
_space_group_IT_number 123
_space_group_name_Hall '-P 4 2'
loop_
_atom_site_label
_atom_site_fract_x
_atom_site_fract_y
_atom_site_fract_z
Cs1 0.0000 0.5000 0.0000
K1 0.0000 0.0000 0.5000
Re1 0.5000 0.5000 0.0000
Pd1 0.5000 0.5000 0.5000
# - electronic total energy (Ha/atom) = -0.1093
# - N(E_F) (states/eV per cell) = 4.965
# - formation enthalpy at 0 K (eV per atom) = 1.114